Entry 1:
Material: KRb3Sb
Method: DFT, PBE-GGA
State: optimized geometry

Summary:
Uncorrected formation energy: -127 meV/atom

Unit cell a=7.2212 b=7.2212 c=7.2212 alpha=90.00 beta=90.00 gamma=90.00
Space group Pm-3m (No. 221)
One atom of each set of equivalent atoms:
K1 0.0000 0.0000 0.0000
Rb1 0.0000 0.5000 0.5000
Sb1 0.5000 0.5000 0.5000

---

Entry 2:
Material: TaTcGe
Method: DFT, PBE-GGA
State: optimized geometry

Summary:
E_form: 0.612 eV per atom

Unit cell a=2.7809 b=2.7809 c=14.0039 alpha=90.00 beta=90.00 gamma=90.00
Space group I4mm (No. 107)
One atom of each set of equivalent atoms:
Ta1 0.0000 0.0000 0.0000
Tc1 0.0000 0.0000 0.8201
Ge1 0.0000 0.0000 0.1925

---

Entry 3:
Material: Zn3Fe4
Method: DFT, PBE-GGA
State: optimized geometry

Summary:
E_form: 0.053 eV per atom

Unit cell a=2.9700 b=2.9700 c=20.1993 alpha=90.00 beta=90.00 gamma=90.00
Space group I4/mmm (No. 139)
One atom of each set of equivalent atoms:
Zn1 0.0000 0.0000 0.0000
Zn2 0.0000 0.0000 0.2912
Fe1 0.0000 0.0000 0.1337
Fe2 0.0000 0.0000 0.4255